Entry 1:
CaAg2Au | GGA-PBE | optimized geometry

Geometry as POSCAR:
```
CaAg2Au
1.0
5.525 -0.657 0.000
-3.322 4.464 0.000
0.000 0.000 7.900
Au Ag Ca
2 4 2
Cartesian
1.438 2.979 1.975
0.766 0.828 5.925
2.703 2.248 7.449
2.703 2.248 4.400
-0.500 1.559 0.450
-0.500 1.559 3.499
2.154 0.023 1.975
0.049 3.784 5.925
```

Calculated values
- SG = Cmcm, No. 63
- formation energy (eV/f.u.) = -1.5
- M_tot (μB/f.u.) = 0.00
- DFT total energy (eV per cell) = -24.896



Entry 2:
AcMgSnH | GGA-PBE | optimized geometry

Geometry as POSCAR:
```
AcMgSnH
1.0
4.630 0.000 0.000
0.000 4.630 0.000
0.000 0.000 8.540
Ac Sn H Mg
2 2 2 2
Cartesian
0.000 2.315 7.353
2.315 0.000 1.186
0.000 2.315 2.452
2.315 0.000 6.087
0.000 0.000 0.000
2.315 2.315 0.000
2.315 2.315 4.270
0.000 0.000 4.270
```

Calculated values
- SG = P4/nmm, No. 129
- M_tot (μB/f.u.) = 0.00
- DFT total energy (eV per cell) = -30.935



Entry 3:
U3Ge2Pt4 | GGA-PBE | optimized geometry

Geometry as POSCAR:
```
U3Ge2Pt4
1.0
4.699 0.000 0.000
-2.350 4.543 -2.159
0.000 -1.185 8.455
Ge U Pt
2 3 4
Cartesian
2.350 0.861 1.925
0.000 2.496 4.371
2.350 0.557 5.012
0.000 2.800 1.284
0.000 0.000 0.000
0.000 0.159 2.997
2.350 1.927 -0.418
2.350 3.198 3.299
0.000 1.430 6.714
```

Calculated values
- SG = C2/m, No. 12
- formation energy (eV/f.u.) = -6.2
- M_tot (μB/f.u.) = 6.43
- DFT total energy (eV per cell) = -73.499



Entry 4:
Sm2Ge2Pt5 | GGA-PBE | optimized geometry

Geometry as POSCAR:
```
Sm2Ge2Pt5
1.0
4.306 0.000 0.000
0.000 4.306 0.000
0.000 0.000 9.076
Sm Pt Ge
2 5 2
Cartesian
0.000 0.000 4.538
0.000 0.000 0.000
2.153 2.153 4.538
2.153 0.000 2.472
0.000 2.153 2.472
0.000 2.153 6.603
2.153 0.000 6.603
2.153 2.153 7.841
2.153 2.153 1.235
```

Calculated values
- SG = P4/mmm, No. 123
- formation energy (eV/f.u.) = -8.3
- M_tot (μB/f.u.) = 0.00
- DFT total energy (eV per cell) = -57.159



Entry 5:
Pr3C4O12F | GGA-PBE | optimized geometry

Geometry as POSCAR:
```
Pr3C4O12F
1.0
6.729 0.408 0.566
-1.226 6.629 0.566
-1.226 -1.567 6.466
O C Pr F
12 4 3 1
Cartesian
3.027 0.269 1.573
5.163 3.486 1.556
4.746 2.467 6.026
2.139 -0.381 6.042
0.636 3.277 0.754
2.139 1.687 4.554
3.642 5.794 4.252
-0.886 5.100 3.799
1.251 4.063 6.844
1.122 3.530 3.799
-0.468 0.539 3.347
3.156 2.987 3.045
6.030 -0.308 3.799
2.139 6.744 0.914
2.139 2.735 3.799
-1.752 1.769 6.685
2.522 -0.637 3.687
-1.226 2.768 3.346
2.982 3.339 0.566
0.000 0.000 0.000
```

Calculated values
- SG = R32, No. 155
- E_form (uncorrected) (kJ per mole of atoms) = -208
- M_tot (μB/f.u.) = 0.12
- DFT total energy (eV per cell) = -155.736



Entry 6:
ReTe3Pt | GGA-PBE | optimized geometry

Geometry as POSCAR:
```
ReTe3Pt
1.0
5.156 0.000 0.000
0.000 5.156 0.000
0.000 0.000 5.156
Te Re Pt
3 1 1
Cartesian
0.000 2.578 0.000
0.000 0.000 2.578
2.578 0.000 0.000
0.000 0.000 0.000
2.578 2.578 2.578
```

Calculated values
- SG = Pm-3m, No. 221
- E_form (uncorrected) (kJ per mole of atoms) = 106
- M_tot (μB/f.u.) = 0.00
- energy above the lowest structure with this stoichiometry (eV/atom) = 0.000
- DFT total energy (eV per cell) = -22.420



Entry 7:
Pm8Ir2Pb | GGA-PBE | optimized geometry

Geometry as POSCAR:
```
Pm8Ir2Pb
1.0
5.584 0.189 -0.850
-1.769 7.306 -3.149
0.204 -0.144 8.146
Ir Pm Pb
2 8 1
Cartesian
2.390 2.240 4.299
1.619 5.155 -0.121
3.114 0.617 1.977
0.896 6.778 2.201
3.507 4.510 2.363
1.399 4.875 5.085
2.610 2.520 -0.907
5.290 1.928 4.489
4.303 5.656 -1.162
0.502 2.884 1.815
-0.005 0.022 0.015
```

Calculated values
- SG = C2/m, No. 12
- formation energy (eV/f.u.) = -4.1
- M_tot (μB/f.u.) = 0.00
- energy above the lowest structure with this stoichiometry (eV/atom) = 0.000
- DFT total energy (eV per cell) = -63.494



Entry 8:
CaAc2InAu6 | GGA-PBE | optimized geometry

Geometry as POSCAR:
```
CaAc2InAu6
1.0
-6.748 2.720 1.820
1.098 -2.047 7.131
-0.644 5.061 5.496
Au In Ca Ac
6 1 1 2
Cartesian
-0.837 -0.871 5.821
-4.900 5.569 12.239
-4.574 3.004 9.455
-4.812 1.544 3.130
-1.394 0.166 2.208
-1.720 2.731 4.993
0.000 0.000 0.000
-2.825 0.337 4.475
-5.108 4.059 5.896
-1.185 1.675 8.551
```

Calculated values
- SG = Fm-3m, No. 225
- formation energy (eV/f.u.) = -1.9
- M_tot (μB/f.u.) = 0.00
- DFT total energy (eV per cell) = -34.521



Entry 9:
PmYRh | GGA-PBE | optimized geometry

Geometry as POSCAR:
```
PmYRh
1.0
3.826 -0.011 -0.008
0.013 4.911 -0.526
0.019 0.862 8.044
Pm Rh Y
2 2 2
Cartesian
0.110 2.499 7.662
2.013 4.171 0.137
0.104 4.390 2.135
2.018 2.278 5.664
2.013 1.991 2.966
0.111 4.680 4.832
```

Calculated values
- SG = Pmmn, No. 59
- formation energy (eV/f.u.) = -1.4
- M_tot (μB/f.u.) = 0.00
- energy above the lowest structure with this stoichiometry (eV/atom) = 0.111
- DFT total energy (eV per cell) = -39.853



Entry 10:
Tm2PaPt3 | GGA-PBE | optimized geometry

Geometry as POSCAR:
```
Tm2PaPt3
1.0
3.382 0.000 0.000
0.000 4.936 0.000
0.000 0.000 15.107
Pa Tm Pt
2 4 6
Cartesian
0.001 0.000 0.000
3.382 2.468 7.553
3.382 2.468 12.538
0.000 0.000 4.984
3.382 2.468 2.569
0.000 0.000 10.122
1.689 0.000 7.553
1.694 2.468 0.000
1.694 2.468 10.057
1.688 0.000 12.603
1.688 0.000 2.503
1.694 2.468 5.050
```

Calculated values
- SG = Cmmm, No. 65
- formation energy (eV/f.u.) = -6.6
- M_tot (μB/f.u.) = 0.54
- DFT total energy (eV per cell) = -86.232



Entry 11:
NdTmSn2 | GGA-PBE | optimized geometry

Geometry as POSCAR:
```
NdTmSn2
1.0
-2.957 2.362 -0.783
-2.015 -0.444 -3.268
-7.354 -5.069 2.938
Sn Tm Nd
2 1 1
Cartesian
-3.136 -0.842 -0.238
-9.190 -2.309 -0.876
-6.163 -1.575 -0.557
0.000 0.000 0.000
```

Calculated values
- SG = R-3m, No. 166
- formation energy (eV/f.u.) = -2.0
- M_tot (μB/f.u.) = 0.00
- DFT total energy (eV per cell) = -19.258



Entry 12:
SiAsRh2 | GGA-PBE | optimized geometry

Geometry as POSCAR:
```
SiAsRh2
1.0
-5.647 5.505 0.263
-6.624 3.819 -1.947
-7.215 3.079 0.843
Rh As Si
2 1 1
Cartesian
-9.846 6.267 -0.425
-19.383 12.337 -0.837
-14.615 9.302 -0.631
-4.872 3.101 -0.210
```

Calculated values
- SG = R-3m, No. 166
- E_form (uncorrected) (kJ per mole of atoms) = -40
- M_tot (μB/f.u.) = 0.00
- DFT total energy (eV per cell) = -26.431